CoNO, optimized geometry, DFT PBE+U; SG = P2_1/c (14); VASP energy = -6.6380 eV per atom; calculated volume = 13.983 Å³/atom
1.0
9.708 0.000 0.000
0.000 2.974 0.000
-0.738 0.000 5.812
Co N O
4 4 4
Direct
0.110 0.249 0.404
0.110 0.251 0.904
0.890 0.749 0.096
0.890 0.751 0.596
0.443 0.039 0.486
0.443 0.461 0.986
0.557 0.539 0.014
0.557 0.961 0.514
0.116 0.749 0.654
0.116 0.751 0.154
0.884 0.249 0.846
0.884 0.251 0.346